LiNiP2O | GGA+U | optimized geometry

Results
The crystal system is tetragonal. For the total energy, the calculation gives -16.155 eV for the cell shown. The calculation puts the density of states at the Fermi level at 3.08 states/eV/f.u. The value obtained for the polymorph energy (0 for the lowest one) is 479 meV/atom.

Cell: 4.4227 4.4227 3.2692 Å, 90.00 90.00 90.00°
Site moments in Bohr magnetons follow the coordinates.
Atoms (fractional coordinates):
P 0.0000 0.5000 0.0000  -0.03
Ni 0.5000 0.5000 0.5000  0.30
Li 0.0000 0.0000 0.0000  0.00
P 0.5000 0.0000 0.0000  -0.03
O 0.0000 0.0000 0.5000  -0.04